A geometry-optimized Mo2IrRu structure. Source: Alexandria via LeMat-Bulk, functional PBE.

Properties
Mass density = 9.06 g cm⁻³
Space-group type = No. 122
DFT formation energy = 1.18 eV/atom
Total DFT energy (no corrections) = -35.094 eV per formula unit

Cell lengths 5.7293, 5.7293, 6.7645 Å; angles 64.95, 64.95, 90.00 degrees
With the nearest neighbours (Å) after each atom.
Element x y z (fractional)
Ru (0.5000, 0.5000, 0.0000)  4 Mo 2.43
Ru (0.2500, 0.7500, 0.5000)  4 Mo 2.43
Mo (0.6222, 0.1250, 0.2500)  2 Ru 2.43, 2 Ir 2.45
Mo (0.1278, 0.6250, 0.2500)  2 Ru 2.43, 2 Ir 2.45
Mo (0.3750, 0.3778, 0.7500)  2 Ru 2.43, 2 Ir 2.45
Mo (0.8750, 0.8722, 0.7500)  2 Ru 2.43, 2 Ir 2.45
Ir (0.0000, 0.0000, 0.0000)  4 Mo 2.45
Ir (0.7500, 0.2500, 0.5000)  4 Mo 2.45

---

A geometry-optimized MoIr4Ru structure. Source: Alexandria via LeMat-Bulk, functional PBE.

Properties
Mass density = 15.58 g cm⁻³
Space-group type = No. 12
DFT formation energy = 0.41 eV/atom
Total DFT energy (no corrections) = -53.085 eV per formula unit

Cell lengths 4.1269, 4.4114, 6.7366 Å; angles 85.21, 72.16, 62.11 degrees
With the nearest neighbours (Å) after each atom.
Element x y z (fractional)
Mo (0.5000, 0.5000, 0.5000)  8 Ir 2.58-2.62
Ir (0.6215, 0.6441, 0.1129)  3 Ru 2.56-2.62, 1 Mo 2.58, 4 Ir 2.72-2.77
Ir (0.3785, 0.3559, 0.8871)  3 Ru 2.56-2.62, 1 Mo 2.58, 4 Ir 2.72-2.77
Ir (0.1161, 0.1482, 0.6197)  1 Ru 2.55, 3 Mo 2.59-2.62, 4 Ir 2.77
Ir (0.8839, 0.8518, 0.3803)  1 Ru 2.55, 3 Mo 2.59-2.62, 4 Ir 2.77
Ru (0.0000, 0.0000, 0.0000)  8 Ir 2.55-2.62

---

A geometry-optimized Mo2IrRu5 structure. Source: Alexandria via LeMat-Bulk, functional PBE.

Properties
Mass density = 12.81 g cm⁻³
Space-group type = No. 139
DFT formation energy = -0.08 eV/atom
Total DFT energy (no corrections) = -77.504 eV per formula unit

Cell lengths 5.4801, 5.4540, 5.4801 Å; angles 59.85, 90.00, 120.15 degrees
With the nearest neighbours (Å) after each atom.
Element x y z (fractional)
Mo (0.2777, 0.5555, 0.2223)  10 Ru 2.73-2.74, 2 Ir 2.74
Mo (0.7777, 0.5555, 0.7223)  10 Ru 2.73-2.74, 2 Ir 2.74
Ir (0.7777, 0.5554, 0.2223)  8 Ru 2.73, 4 Mo 2.74
Ru (0.2777, 0.0555, 0.2222)  4 Mo 2.73, 2 Ir 2.73, 6 Ru 2.73-2.74
Ru (0.2777, 0.0555, 0.7223)  6 Ru 2.73-2.74, 4 Mo 2.73, 2 Ir 2.73
Ru (0.7778, 0.0555, 0.2222)  2 Ir 2.73, 4 Mo 2.73, 6 Ru 2.73-2.74
Ru (0.7778, 0.0555, 0.7223)  4 Mo 2.73, 2 Ir 2.73, 6 Ru 2.73-2.74
Ru (0.2778, 0.5556, 0.7222)  8 Ru 2.73, 4 Mo 2.74